(1)
TlV12S16 (GGA-PBEsol, relaxed); formation energy (no corrections) = -1.0935 eV per atom; SG = No. 1
1.0
6.364 0.000 0.000
0.000 9.013 0.000
-3.182 -4.506 7.804
Tl V S
1 12 16
direct
0.000 0.000 0.000
0.001 0.882 0.508
0.239 0.116 0.489
0.301 0.625 0.117
0.310 0.514 0.632
0.434 0.490 0.374
0.435 0.369 0.882
0.495 0.882 0.508
0.737 0.117 0.485
0.804 0.625 0.117
0.808 0.509 0.627
0.928 0.490 0.374
0.935 0.369 0.882
0.072 0.709 0.656
0.077 0.332 0.666
0.161 0.664 0.333
0.170 0.296 0.351
0.272 0.343 0.053
0.348 0.053 0.707
0.388 0.945 0.289
0.468 0.652 0.947
0.572 0.709 0.656
0.577 0.332 0.666
0.661 0.667 0.333
0.667 0.292 0.345
0.770 0.343 0.053
0.845 0.053 0.702
0.890 0.945 0.289
0.966 0.649 0.945

---

(2)
CoTc (GGA-PBEsol, relaxed); SG = No. 129; formation energy from the elements = 82 meV per atom
1.0
2.586 0.000 0.000
0.000 2.586 0.000
0.000 0.000 7.203
Co Tc
2 2
direct
0.250 0.250 0.120
0.750 0.750 0.880
0.250 0.250 0.649
0.750 0.750 0.351

---

(3)
AlCdOs2 (GGA-PBEsol, relaxed); SG = No. 119; formation energy from the elements = 409 meV per atom
1.0
-1.998 1.998 3.770
1.998 -1.998 3.770
1.998 1.998 -3.770
Al Cd Os
1 1 2
direct
0.000 0.000 0.000
0.750 0.250 0.500
0.250 0.750 0.500
0.500 0.500 0.000

---

(4)
Nd6Nb5S16 (GGA-PBEsol, relaxed); formation energy (no corrections) = -1.7810 eV per atom; SG = No. 38
1.0
22.626 0.000 0.000
0.000 8.305 2.844
0.000 -8.305 2.844
Nd Nb S
12 10 32
direct
0.171 0.000 0.000
0.174 0.360 0.692
0.174 0.692 0.360
0.327 0.198 0.863
0.327 0.504 0.504
0.327 0.863 0.198
0.673 0.198 0.863
0.673 0.504 0.504
0.673 0.863 0.198
0.826 0.360 0.692
0.826 0.692 0.360
0.829 0.000 0.000
0.000 0.145 0.747
0.000 0.344 0.546
0.000 0.546 0.344
0.000 0.747 0.145
0.000 0.940 0.940
0.500 0.096 0.096
0.500 0.299 0.902
0.500 0.496 0.697
0.500 0.697 0.496
0.500 0.902 0.299
0.068 0.277 0.277
0.069 0.074 0.479
0.069 0.479 0.074
0.071 0.679 0.879
0.071 0.879 0.679
0.201 0.190 0.856
0.201 0.510 0.510
0.201 0.856 0.190
0.299 0.012 0.012
0.300 0.359 0.691
0.300 0.691 0.359
0.429 0.166 0.361
0.429 0.361 0.166
0.431 0.564 0.965
0.431 0.965 0.564
0.432 0.766 0.766
0.568 0.766 0.766
0.569 0.564 0.965
0.569 0.965 0.564
0.571 0.166 0.361
0.571 0.361 0.166
0.700 0.359 0.691
0.700 0.691 0.359
0.701 0.012 0.012
0.799 0.190 0.856
0.799 0.510 0.510
0.799 0.856 0.190
0.929 0.679 0.879
0.929 0.879 0.679
0.931 0.074 0.479
0.931 0.479 0.074
0.932 0.277 0.277

---

no.,uncorrected energy (eV/cell),D(E_F) (states/eV per atom)
1,-220.101,0.527
2,-37.679,1.185
3,-28.086,0.899
4,-406.680,0.070